[1]
! GGA-PBE Hf5Sb2N, optimized geometry; values from VASP
&SYSTEM
  ibrav = 0, nat = 16, ntyp = 3
/
ATOMIC_SPECIES
Sb 121.76 Sb.upf
Hf 178.49 Hf.upf
N 14.01 N.upf
CELL_PARAMETERS angstrom
4.117 0.000 0.000
-2.059 7.665 0.000
0.000 0.000 11.956
ATOMIC_POSITIONS crystal
Sb 0.071 0.142 0.620
Sb 0.071 0.142 0.880
Hf 0.692 0.384 0.947
Hf 0.879 0.758 0.625
Hf 0.121 0.242 0.375
Hf 0.692 0.384 0.553
Hf 0.244 0.488 0.750
Hf 0.756 0.512 0.250
Hf 0.308 0.616 0.447
N 0.772 0.543 0.750
Hf 0.121 0.242 0.125
Hf 0.879 0.758 0.875
N 0.228 0.457 0.250
Hf 0.308 0.616 0.053
Sb 0.929 0.858 0.120
Sb 0.929 0.858 0.380
! Density, g/cm³: 10.12
! Crystal system: orthorhombic



[2]
! GGA-PBE Hf8SbN2, optimized geometry; values from VASP
&SYSTEM
  ibrav = 0, nat = 11, ntyp = 3
/
ATOMIC_SPECIES
Hf 178.49 Hf.upf
N 14.01 N.upf
Sb 121.76 Sb.upf
CELL_PARAMETERS angstrom
-1.882 -5.571 0.330
4.150 -2.560 -5.001
6.252 -2.908 1.116
ATOMIC_POSITIONS crystal
Hf 0.696 0.170 0.640
Hf 0.304 0.360 0.830
Hf 0.303 0.809 0.809
N 0.653 0.814 0.814
Sb 0.000 0.000 0.000
Hf 0.697 0.191 0.191
N 0.347 0.186 0.186
Hf 0.224 0.350 0.350
Hf 0.304 0.830 0.360
Hf 0.776 0.650 0.650
Hf 0.696 0.640 0.170
! Density, g/cm³: 11.19
! Crystal system: monoclinic



[3]
! GGA-PBE Hf2SbN, optimized geometry; values from VASP
&SYSTEM
  ibrav = 0, nat = 4, ntyp = 3
/
ATOMIC_SPECIES
Hf 178.49 Hf.upf
Sb 121.76 Sb.upf
N 14.01 N.upf
CELL_PARAMETERS angstrom
3.466 0.000 0.000
1.733 3.002 0.000
1.733 1.001 6.617
ATOMIC_POSITIONS crystal
Hf 0.723 0.723 0.832
Sb 0.500 0.500 0.500
Hf 0.277 0.277 0.168
N 0.000 0.000 0.000
! Density, g/cm³: 11.88
! Polymorph energy (0 for the lowest one), meV/atom: 0
! Crystal system: trigonal



[4]
! GGA-PBE Hf6SbN2, optimized geometry; values from VASP
&SYSTEM
  ibrav = 0, nat = 18, ntyp = 3
/
ATOMIC_SPECIES
N 14.01 N.upf
Hf 178.49 Hf.upf
Sb 121.76 Sb.upf
CELL_PARAMETERS angstrom
6.252 0.114 0.110
1.953 7.718 0.748
1.953 0.997 7.690
ATOMIC_POSITIONS crystal
N 0.783 0.734 0.604
Hf 0.993 0.518 0.732
Hf 0.010 0.848 0.390
Hf 0.510 0.390 0.848
Hf 0.828 0.210 0.107
Hf 0.172 0.790 0.893
Hf 0.328 0.107 0.210
Hf 0.007 0.482 0.268
Hf 0.493 0.732 0.518
Sb 0.750 0.857 0.143
N 0.717 0.396 0.266
N 0.217 0.266 0.396
Sb 0.250 0.143 0.857
Hf 0.507 0.268 0.482
Hf 0.990 0.152 0.610
Hf 0.490 0.610 0.152
Hf 0.672 0.893 0.790
N 0.283 0.604 0.734
! Density, g/cm³: 11.15
! Crystal system: monoclinic



[5]
! GGA-PBE Hf6SbN, optimized geometry; values from VASP
&SYSTEM
  ibrav = 0, nat = 8, ntyp = 3
/
ATOMIC_SPECIES
Hf 178.49 Hf.upf
N 14.01 N.upf
Sb 121.76 Sb.upf
CELL_PARAMETERS angstrom
-3.839 2.114 -3.408
2.472 -3.687 -3.333
-3.107 -3.339 3.164
ATOMIC_POSITIONS crystal
Hf 0.778 0.778 0.395
N 0.500 0.500 0.500
Hf 0.222 0.222 0.605
Hf 0.604 0.222 0.222
Hf 0.222 0.604 0.222
Sb 0.000 0.000 0.000
Hf 0.778 0.396 0.778
Hf 0.396 0.778 0.778
! Density, g/cm³: 12.52
! Crystal system: trigonal



[6]
! GGA-PBE Hf4Sb2N, optimized geometry; values from VASP
&SYSTEM
  ibrav = 0, nat = 7, ntyp = 3
/
ATOMIC_SPECIES
Sb 121.76 Sb.upf
Hf 178.49 Hf.upf
N 14.01 N.upf
CELL_PARAMETERS angstrom
-3.988 -1.478 1.035
1.036 0.180 4.249
-3.962 6.278 2.956
ATOMIC_POSITIONS crystal
Sb 0.352 0.352 0.295
Hf 0.000 0.500 0.000
N 0.000 0.000 0.000
Hf 0.153 0.153 0.693
Hf 0.500 0.000 0.000
Hf 0.847 0.847 0.307
Sb 0.648 0.648 0.705
! Density, g/cm³: 11.43
! Polymorph energy (0 for the lowest one), meV/atom: 0
! Crystal system: tetragonal



| no. | E (eV/cell) | total magnetic moment (μB per formula unit) | raw formation energy (eV/atom) |
| --- | --- | --- | --- |
| 1 | -137.237 | 0.0 | -0.285 |
| 2 | -104.630 | 0.0 | -0.385 |
| 3 | -36.086 | 0.0 | -0.933 |
| 4 | -171.345 | 0.0 | -0.575 |
| 5 | -76.418 | 0.0 | -0.531 |
| 6 | -60.901 | 0.0 | -0.645 |